No. 1
## PBr (PBE)

Data for a relaxed PBr crystal.

Lattice parameters (Å, degrees): 4.813 4.813 22.513 90.00 90.00 120.00
Last column: magnetic moment on the atom in μB.
Sites, in units of the cell vectors:
P: 0.000 0.000 0.046  0.20
P: 0.000 0.000 0.954  0.20
P: 0.333 0.667 0.379  0.20
P: 0.333 0.667 0.287  0.20
P: 0.667 0.333 0.713  0.20
P: 0.667 0.333 0.621  0.20
Br: 0.000 0.000 0.399  0.20
Br: 0.000 0.000 0.601  0.20
Br: 0.333 0.667 0.733  0.20
Br: 0.333 0.667 0.934  0.20
Br: 0.667 0.333 0.066  0.20
Br: 0.667 0.333 0.267  0.20

Summary:
raw formation energy = 0.47 eV per atom
E_tot = -36.9 eV for the cell shown
magnetic moment = 0.342 μB per atom
energy above the lowest structure with this stoichiometry = 57.7 kJ/mol of atoms


No. 2
## LiCaGaIr (PBE)

Data for a relaxed LiCaGaIr crystal.

Lattice parameters (Å, degrees): 4.347 4.349 5.520 113.36 90.00 119.98
Sites, in units of the cell vectors:
Li: 0.824 0.648 0.115
Ca: 0.624 0.248 0.515
Ga: 0.098 0.197 0.937
Ir: 0.420 0.839 0.901

Summary:
energy of formation = -452 meV per atom
E_tot = -17.6 eV for the cell shown
magnetic moment = 0.000 μB per atom
energy above the lowest structure with this stoichiometry = 0.0 kJ/mol of atoms


No. 3
## MnAgSnPd (PBE)

Data for a relaxed MnAgSnPd crystal.

Lattice parameters (Å, degrees): 4.622 4.622 4.622 60.00 60.00 60.00
Last column: magnetic moment on the atom in μB.
Sites, in units of the cell vectors:
Mn: 0.000 0.000 0.000  3.91
Pd: 0.250 0.250 0.250  0.09
Sn: 0.500 0.500 0.500  -0.05
Ag: 0.750 0.750 0.750  0.01

Summary:
energy of formation = -113 meV per atom
E_tot = -21.7 eV for the cell shown
magnetic moment = 1.037 μB per atom


Question: Look up the E_tot of the first one.
Answer: -36.9 eV for the cell shown


Question: Which of these has the highest magnetic moment?
Answer: MnAgSnPd


Question: The highest E_tot belongs to which entry?
Answer: LiCaGaIr